An optimized crystal structure of Hf4Tc3Rh, computed with PBE-GGA.

Structure (CIF):
```
data_Hf4Tc3Rh
_symmetry_space_group_name_H-M 'I 4/m m m'
_symmetry_Int_Tables_number 139
_symmetry_space_group_name_Hall '-I 4 2'
_cell_length_a 4.607
_cell_length_b 4.607
_cell_length_c 13.063
_cell_angle_alpha 90.00
_cell_angle_beta 90.00
_cell_angle_gamma 90.00
loop_
_atom_site_label
_atom_site_fract_x
_atom_site_fract_y
_atom_site_fract_z
Hf1 0.000 0.500 0.127
Tc1 0.000 0.000 0.000
Tc2 0.000 0.000 0.250
Rh1 0.000 0.000 0.500
```

Output
ΔH_f (0 K), eV/atom: -0.650

=====

An optimized crystal structure of Hf4Tc2Rh, computed with PBE-GGA.

Structure (CIF):
```
data_Hf4Tc2Rh
_symmetry_space_group_name_H-M 'I 4/m m m'
_symmetry_Int_Tables_number 139
_symmetry_space_group_name_Hall '-I 4 2'
_cell_length_a 6.433
_cell_length_b 6.433
_cell_length_c 6.540
_cell_angle_alpha 90.00
_cell_angle_beta 90.00
_cell_angle_gamma 90.00
loop_
_atom_site_label
_atom_site_fract_x
_atom_site_fract_y
_atom_site_fract_z
Hf1 0.250 0.250 0.250
Tc1 0.000 0.500 0.000
Rh1 0.000 0.000 0.000
```

Output
ΔH_f (0 K), eV/atom: -0.437

=====

An optimized crystal structure of Hf3Tc2Rh, computed with PBE-GGA.

Structure (CIF):
```
data_Hf3Tc2Rh
_symmetry_space_group_name_H-M 'P 4/m m m'
_symmetry_Int_Tables_number 123
_symmetry_space_group_name_Hall '-P 4 2'
_cell_length_a 3.269
_cell_length_b 3.269
_cell_length_c 9.753
_cell_angle_alpha 90.00
_cell_angle_beta 90.00
_cell_angle_gamma 90.00
loop_
_atom_site_label
_atom_site_fract_x
_atom_site_fract_y
_atom_site_fract_z
Hf1 0.000 0.000 0.000
Hf2 0.000 0.000 0.328
Tc1 0.500 0.500 0.170
Rh1 0.500 0.500 0.500
```

Output
ΔH_f (0 K), eV/atom: -0.696

=====

An optimized crystal structure of Hf4TcRh2, computed with PBE-GGA.

Structure (CIF):
```
data_Hf4TcRh2
_symmetry_space_group_name_H-M 'I 4/m m m'
_symmetry_Int_Tables_number 139
_symmetry_space_group_name_Hall '-I 4 2'
_cell_length_a 6.442
_cell_length_b 6.442
_cell_length_c 6.511
_cell_angle_alpha 90.00
_cell_angle_beta 90.00
_cell_angle_gamma 90.00
loop_
_atom_site_label
_atom_site_fract_x
_atom_site_fract_y
_atom_site_fract_z
Hf1 0.250 0.250 0.250
Tc1 0.000 0.000 0.000
Rh1 0.000 0.500 0.000
```

Output
ΔH_f (0 K), eV/atom: -0.567

=====

An optimized crystal structure of Hf2TcRh2, computed with PBE-GGA.

Structure (CIF):
```
data_Hf2TcRh2
_symmetry_space_group_name_H-M 'P 4/m b m'
_symmetry_Int_Tables_number 127
_symmetry_space_group_name_Hall '-P 4 2ab'
_cell_length_a 7.102
_cell_length_b 7.102
_cell_length_c 3.457
_cell_angle_alpha 90.00
_cell_angle_beta 90.00
_cell_angle_gamma 90.00
loop_
_atom_site_label
_atom_site_fract_x
_atom_site_fract_y
_atom_site_fract_z
Hf1 0.175 0.325 0.000
Tc1 0.000 0.000 0.500
Rh1 0.129 0.629 0.500
```

Output
ΔH_f (0 K), eV/atom: -0.431

=====

An optimized crystal structure of Hf8TcRh2, computed with PBE-GGA.

Structure (CIF):
```
data_Hf8TcRh2
_symmetry_space_group_name_H-M 'C 1 2/m 1'
_symmetry_Int_Tables_number 12
_symmetry_space_group_name_Hall '-C 2y'
_cell_length_a 15.638
_cell_length_b 4.699
_cell_length_c 6.145
_cell_angle_alpha 90.00
_cell_angle_beta 99.11
_cell_angle_gamma 90.00
loop_
_atom_site_label
_atom_site_fract_x
_atom_site_fract_y
_atom_site_fract_z
Hf1 0.031 0.000 0.252
Hf2 0.088 0.500 0.944
Hf3 0.165 0.500 0.456
Hf4 0.187 0.000 0.813
Tc1 0.000 0.500 0.500
Rh1 0.207 0.000 0.231
```

Output
ΔH_f (0 K), eV/atom: -0.369

=====

An optimized crystal structure of Hf4TcRh, computed with PBE-GGA.

Structure (CIF):
```
data_Hf4TcRh
_symmetry_space_group_name_H-M 'P 4/m m m'
_symmetry_Int_Tables_number 123
_symmetry_space_group_name_Hall '-P 4 2'
_cell_length_a 3.302
_cell_length_b 3.302
_cell_length_c 10.367
_cell_angle_alpha 90.00
_cell_angle_beta 90.00
_cell_angle_gamma 90.00
loop_
_atom_site_label
_atom_site_fract_x
_atom_site_fract_y
_atom_site_fract_z
Hf1 0.000 0.000 0.151
Hf2 0.500 0.500 0.346
Tc1 0.500 0.500 0.000
Rh1 0.000 0.000 0.500
```

Output
ΔH_f (0 K), eV/atom: -0.466
Energy above the lowest structure with this stoichiometry, eV per formula unit: 0.000

=====

An optimized crystal structure of HfTc2Rh, computed with PBE-GGA.

Structure (CIF):
```
data_HfTc2Rh
_symmetry_space_group_name_H-M 'I -4 2 d'
_symmetry_Int_Tables_number 122
_symmetry_space_group_name_Hall 'I -4 2bw'
_cell_length_a 7.386
_cell_length_b 7.386
_cell_length_c 5.095
_cell_angle_alpha 90.00
_cell_angle_beta 90.00
_cell_angle_gamma 90.00
loop_
_atom_site_label
_atom_site_fract_x
_atom_site_fract_y
_atom_site_fract_z
Hf1 0.000 0.000 0.000
Tc1 0.226 0.250 0.625
Rh1 0.000 0.000 0.500
```

Output
ΔH_f (0 K), eV/atom: 0.330
Energy above the lowest structure with this stoichiometry, eV per formula unit: 1.253

=====

An optimized crystal structure of HfTcRh2, computed with PBE-GGA.

Structure (CIF):
```
data_HfTcRh2
_symmetry_space_group_name_H-M 'I -4 2 d'
_symmetry_Int_Tables_number 122
_symmetry_space_group_name_Hall 'I -4 2bw'
_cell_length_a 3.910
_cell_length_b 3.910
_cell_length_c 17.945
_cell_angle_alpha 90.00
_cell_angle_beta 90.00
_cell_angle_gamma 90.00
loop_
_atom_site_label
_atom_site_fract_x
_atom_site_fract_y
_atom_site_fract_z
Hf1 0.000 0.000 0.000
Tc1 0.000 0.000 0.500
Rh1 0.236 0.250 0.625
```

Output
ΔH_f (0 K), eV/atom: 0.087
Energy above the lowest structure with this stoichiometry, eV per formula unit: 2.236

=====

An optimized crystal structure of Hf5TcRh4, computed with PBE-GGA.

Structure (CIF):
```
data_Hf5TcRh4
_symmetry_space_group_name_H-M 'P 4/m m m'
_symmetry_Int_Tables_number 123
_symmetry_space_group_name_Hall '-P 4 2'
_cell_length_a 3.290
_cell_length_b 3.290
_cell_length_c 16.092
_cell_angle_alpha 90.00
_cell_angle_beta 90.00
_cell_angle_gamma 90.00
loop_
_atom_site_label
_atom_site_fract_x
_atom_site_fract_y
_atom_site_fract_z
Hf1 0.000 0.000 0.000
Hf2 0.000 0.000 0.200
Hf3 0.000 0.000 0.402
Tc1 0.500 0.500 0.500
Rh1 0.500 0.500 0.100
Rh2 0.500 0.500 0.298
```

Output
ΔH_f (0 K), eV/atom: -0.843

=====

An optimized crystal structure of HfTc2Rh, computed with PBE-GGA.

Structure (CIF):
```
data_HfTc2Rh
_symmetry_space_group_name_H-M 'F m -3 m'
_symmetry_Int_Tables_number 225
_symmetry_space_group_name_Hall '-F 4 2 3'
_cell_length_a 6.347
_cell_length_b 6.347
_cell_length_c 6.347
_cell_angle_alpha 90.00
_cell_angle_beta 90.00
_cell_angle_gamma 90.00
loop_
_atom_site_label
_atom_site_fract_x
_atom_site_fract_y
_atom_site_fract_z
Hf1 0.000 0.000 0.000
Tc1 0.250 0.250 0.250
Rh1 0.000 0.000 0.500
```

Output
ΔH_f (0 K), eV/atom: 0.017
Energy above the lowest structure with this stoichiometry, eV per formula unit: 0.000

=====

An optimized crystal structure of HfTcRh2, computed with PBE-GGA.

Structure (CIF):
```
data_HfTcRh2
_symmetry_space_group_name_H-M 'F m -3 m'
_symmetry_Int_Tables_number 225
_symmetry_space_group_name_Hall '-F 4 2 3'
_cell_length_a 6.386
_cell_length_b 6.386
_cell_length_c 6.386
_cell_angle_alpha 90.00
_cell_angle_beta 90.00
_cell_angle_gamma 90.00
loop_
_atom_site_label
_atom_site_fract_x
_atom_site_fract_y
_atom_site_fract_z
Hf1 0.000 0.000 0.000
Tc1 0.000 0.000 0.500
Rh1 0.250 0.250 0.250
```

Output
ΔH_f (0 K), eV/atom: -0.226
Energy above the lowest structure with this stoichiometry, eV per formula unit: 0.983

=====

An optimized crystal structure of HfTcRh2, computed with PBE-GGA.

Structure (CIF):
```
data_HfTcRh2
_symmetry_space_group_name_H-M 'P 4/m m m'
_symmetry_Int_Tables_number 123
_symmetry_space_group_name_Hall '-P 4 2'
_cell_length_a 4.004
_cell_length_b 4.004
_cell_length_c 3.892
_cell_angle_alpha 90.00
_cell_angle_beta 90.00
_cell_angle_gamma 90.00
loop_
_atom_site_label
_atom_site_fract_x
_atom_site_fract_y
_atom_site_fract_z
Hf1 0.000 0.000 0.000
Tc1 0.500 0.500 0.000
Rh1 0.000 0.500 0.500
```

Output
ΔH_f (0 K), eV/atom: -0.472
Energy above the lowest structure with this stoichiometry, eV per formula unit: 0.000

=====

no.,E_tot (eV/atom)
1,-10.43
2,-10.14
3,-10.35
4,-9.84
5,-9.43
6,-9.89
7,-10.05
8,-9.18
9,-8.67
10,-9.80
11,-9.49
12,-8.98
13,-9.23